(1)
DFT (PBE) results for Sr4Mg3Ag2 after structural relaxation.

a = 4.447 Å, b = 8.150 Å, c = 9.215 Å
α = 109.11°, β = 103.96°, γ = 90.00°
Positions (direct):
Sr 0.232 0.694 0.464
Sr 0.768 0.306 0.536
Sr 0.578 0.863 0.156
Sr 0.422 0.137 0.844
Mg 0.093 0.223 0.185
Mg 0.907 0.777 0.815
Mg 0.000 0.500 0.000
Ag 0.400 0.549 0.799
Ag 0.600 0.451 0.201

Values from the calculation:
**Energy of formation**: -0.15 eV/atom
**Total moment**: 0.0 μB per formula unit

---

(2)
DFT (PBE) results for Sr2Mg2Ag after structural relaxation.

a = 7.716 Å, b = 7.716 Å, c = 5.491 Å
α = 90.00°, β = 90.00°, γ = 90.00°
Positions (direct):
Sr 0.176 0.676 0.500
Sr 0.676 0.824 0.500
Sr 0.824 0.324 0.500
Sr 0.324 0.176 0.500
Mg 0.362 0.862 0.000
Mg 0.862 0.638 0.000
Mg 0.638 0.138 0.000
Mg 0.138 0.362 0.000
Ag 0.000 0.000 0.000
Ag 0.500 0.500 0.000

Values from the calculation:
**Distance to the lowest polymorph of the same formula**: 2.602 kcal/mol of atoms
**Energy of formation**: -0.03 eV/atom
**Total moment**: 0.0 μB per formula unit

---

(3)
DFT (PBE) results for SrMgAg2 after structural relaxation.

a = 5.125 Å, b = 5.125 Å, c = 3.816 Å
α = 90.00°, β = 90.00°, γ = 90.06°
Positions (direct):
Ag 0.000 0.000 0.000
Ag 0.500 0.500 0.000
Mg 0.500 0.000 0.500
Sr 0.000 0.500 0.500

Values from the calculation:
**Energy of formation**: -0.12 eV/atom
**Total moment**: 0.0 μB per formula unit

---

(4)
DFT (PBE) results for Sr2Mg3Ag4 after structural relaxation.

a = 6.329 Å, b = 8.240 Å, c = 9.102 Å
α = 90.00°, β = 110.35°, γ = 90.00°
Positions (direct):
Sr 0.107 0.591 0.214
Sr 0.893 0.409 0.786
Sr 0.393 0.091 0.786
Sr 0.607 0.909 0.214
Mg 0.000 0.000 0.000
Mg 0.500 0.500 0.000
Mg 0.523 0.750 0.545
Mg 0.977 0.250 0.455
Mg 0.477 0.250 0.455
Mg 0.023 0.750 0.545
Ag 0.688 0.750 0.876
Ag 0.812 0.250 0.124
Ag 0.312 0.250 0.124
Ag 0.188 0.750 0.876
Ag 0.177 0.979 0.354
Ag 0.823 0.021 0.646
Ag 0.323 0.479 0.646
Ag 0.677 0.521 0.354

Values from the calculation:
**Energy of formation**: -0.22 eV/atom
**Total moment**: 0.0 μB per formula unit

---

(5)
DFT (PBE) results for SrMg2Ag3 after structural relaxation.

a = 4.499 Å, b = 6.002 Å, c = 6.002 Å
α = 120.00°, β = 90.00°, γ = 90.00°
Positions (direct):
Sr 0.000 0.000 0.000
Mg 0.000 0.667 0.333
Mg 0.000 0.333 0.667
Ag 0.500 0.000 0.500
Ag 0.500 0.500 0.500
Ag 0.500 0.500 0.000

Values from the calculation:
**Distance to the lowest polymorph of the same formula**: 0.000 kcal/mol of atoms
**Energy of formation**: -0.23 eV/atom
**Total moment**: 0.0 μB per formula unit

---

(6)
DFT (PBE) results for Sr3Mg2Ag4 after structural relaxation.

a = 4.751 Å, b = 6.233 Å, c = 9.479 Å
α = 98.20°, β = 90.00°, γ = 112.40°
Positions (direct):
Sr 0.375 0.749 0.617
Sr 0.000 0.000 0.000
Sr 0.625 0.251 0.383
Mg 0.319 0.639 0.217
Mg 0.681 0.361 0.783
Ag 0.730 0.460 0.083
Ag 0.085 0.169 0.637
Ag 0.915 0.831 0.363
Ag 0.270 0.540 0.917

Values from the calculation:
**Distance to the lowest polymorph of the same formula**: 0.000 kcal/mol of atoms
**Energy of formation**: -0.27 eV/atom
**Total moment**: 0.0 μB per formula unit

---

(7)
DFT (PBE) results for SrMg3Ag after structural relaxation.

a = 6.006 Å, b = 6.260 Å, c = 7.650 Å
α = 90.00°, β = 112.61°, γ = 90.00°
Positions (direct):
Sr 0.722 0.948 0.922
Sr 0.313 0.448 0.639
Mg 0.840 0.448 0.162
Mg 0.194 0.948 0.399
Mg 0.737 0.190 0.472
Mg 0.737 0.705 0.472
Mg 0.297 0.690 0.088
Mg 0.297 0.205 0.088
Ag 0.903 0.448 0.815
Ag 0.131 0.948 0.745

Values from the calculation:
**Distance to the lowest polymorph of the same formula**: 0.000 kcal/mol of atoms
**Energy of formation**: -0.14 eV/atom
**Total moment**: 0.0 μB per formula unit

---

(8)
DFT (PBE) results for SrMgAg after structural relaxation.

a = 4.627 Å, b = 4.618 Å, c = 8.128 Å
α = 90.01°, β = 90.01°, γ = 90.01°
Positions (direct):
Sr 0.813 0.866 0.575
Sr 0.314 0.366 0.264
Mg 0.814 0.367 0.920
Mg 0.314 0.867 0.920
Ag 0.814 0.866 0.135
Ag 0.314 0.366 0.704

Values from the calculation:
**Energy of formation**: -0.24 eV/atom
**Total moment**: 0.0 μB per formula unit

---

(9)
DFT (PBE) results for Sr4MgAg after structural relaxation.

a = 6.515 Å, b = 7.881 Å, c = 10.705 Å
α = 90.00°, β = 116.57°, γ = 90.00°
Positions (direct):
Sr 0.580 0.250 0.438
Sr 0.420 0.750 0.562
Sr 0.653 0.250 0.863
Sr 0.347 0.750 0.137
Sr 0.921 0.011 0.247
Sr 0.079 0.511 0.753
Sr 0.921 0.489 0.247
Sr 0.079 0.989 0.753
Mg 0.303 0.250 0.073
Mg 0.697 0.750 0.927
Ag 0.175 0.250 0.541
Ag 0.825 0.750 0.459

Values from the calculation:
**Distance to the lowest polymorph of the same formula**: 0.000 kcal/mol of atoms
**Energy of formation**: -0.09 eV/atom
**Total moment**: 0.0 μB per formula unit

---

(10)
DFT (PBE) results for Sr6MgAg2 after structural relaxation.

a = 9.819 Å, b = 9.819 Å, c = 9.819 Å
α = 103.13°, β = 111.98°, γ = 113.49°
Positions (direct):
Sr 0.530 0.712 0.818
Sr 0.470 0.288 0.182
Sr 0.106 0.288 0.818
Sr 0.894 0.712 0.182
Sr 0.808 0.755 0.562
Sr 0.192 0.245 0.438
Sr 0.192 0.755 0.947
Sr 0.808 0.245 0.053
Sr 0.688 0.354 0.666
Sr 0.312 0.646 0.334
Sr 0.312 0.977 0.666
Sr 0.688 0.023 0.334
Mg 0.000 0.500 0.500
Mg 0.000 0.000 0.000
Ag 0.500 0.377 0.877
Ag 0.500 0.623 0.123
Ag 0.686 0.000 0.686
Ag 0.314 0.000 0.314

Values from the calculation:
**Energy of formation**: -0.16 eV/atom
**Total moment**: 0.0 μB per formula unit

---

(11)
DFT (PBE) results for Sr3Mg7Ag4 after structural relaxation.

a = 4.731 Å, b = 8.947 Å, c = 9.554 Å
α = 71.33°, β = 75.67°, γ = 74.67°
Positions (direct):
Sr 0.306 0.185 0.202
Sr 0.694 0.815 0.798
Sr 0.000 0.500 0.500
Mg 0.320 0.844 0.517
Mg 0.491 0.219 0.799
Mg 0.840 0.395 0.926
Mg 0.680 0.156 0.483
Mg 0.160 0.605 0.074
Mg 0.000 0.000 0.000
Mg 0.509 0.781 0.201
Ag 0.662 0.449 0.227
Ag 0.338 0.551 0.773
Ag 0.887 0.900 0.327
Ag 0.113 0.100 0.673

Values from the calculation:
**Energy of formation**: -0.21 eV/atom
**Total moment**: 0.0 μB per formula unit

---

(12)
DFT (PBE) results for SrMgAg2 after structural relaxation.

a = 4.828 Å, b = 4.828 Å, c = 10.372 Å
α = 90.00°, β = 90.00°, γ = 120.00°
Positions (direct):
Sr 0.333 0.667 0.250
Sr 0.667 0.333 0.750
Mg 0.000 0.000 0.000
Mg 0.000 0.000 0.500
Ag 0.667 0.333 0.061
Ag 0.333 0.667 0.561
Ag 0.667 0.333 0.439
Ag 0.333 0.667 0.939

Values from the calculation:
**Energy of formation**: -0.26 eV/atom
**Total moment**: 0.0 μB per formula unit

---

(13)
DFT (PBE) results for SrMg4Ag after structural relaxation.

a = 6.042 Å, b = 6.042 Å, c = 6.042 Å
α = 60.00°, β = 60.00°, γ = 60.00°
Positions (direct):
Sr 0.750 0.750 0.750
Mg 0.878 0.374 0.374
Mg 0.374 0.374 0.878
Mg 0.374 0.878 0.374
Mg 0.374 0.374 0.374
Ag 0.000 0.000 0.000

Values from the calculation:
**Distance to the lowest polymorph of the same formula**: 4.090 kcal/mol of atoms
**Energy of formation**: 0.03 eV/atom
**Total moment**: 0.0 μB per formula unit

---

(14)
DFT (PBE) results for SrMgAg2 after structural relaxation.

a = 4.696 Å, b = 3.846 Å, c = 6.097 Å
α = 71.03°, β = 90.00°, γ = 90.00°
Positions (direct):
Ag 0.000 0.187 0.003
Ag 0.500 0.042 0.282
Mg 0.000 0.489 0.398
Sr 0.500 0.782 0.817

Values from the calculation:
**Energy of formation**: -0.16 eV/atom
**Total moment**: 0.0 μB per formula unit

---

(15)
DFT (PBE) results for SrMg22Ag6 after structural relaxation.

a = 9.856 Å, b = 9.856 Å, c = 9.856 Å
α = 60.00°, β = 60.00°, γ = 60.00°
Positions (direct):
Sr 0.000 0.000 0.000
Mg 0.750 0.750 0.750
Mg 0.250 0.250 0.250
Mg 0.618 0.618 0.147
Mg 0.618 0.618 0.618
Mg 0.618 0.147 0.618
Mg 0.147 0.618 0.618
Mg 0.382 0.382 0.853
Mg 0.382 0.382 0.382
Mg 0.382 0.853 0.382
Mg 0.853 0.382 0.382
Mg 0.649 0.000 0.351
Mg 0.000 0.649 0.351
Mg 0.000 0.000 0.351
Mg 0.000 0.649 0.000
Mg 0.649 0.000 0.000
Mg 0.000 0.000 0.649
Mg 0.000 0.351 0.000
Mg 0.000 0.351 0.649
Mg 0.649 0.351 0.000
Mg 0.351 0.000 0.649
Mg 0.351 0.000 0.000
Mg 0.351 0.649 0.000
Ag 0.264 0.736 0.264
Ag 0.736 0.264 0.264
Ag 0.736 0.736 0.264
Ag 0.736 0.264 0.736
Ag 0.264 0.736 0.736
Ag 0.264 0.264 0.736

Values from the calculation:
**Energy of formation**: -0.06 eV/atom
**Total moment**: 0.0 μB per formula unit

---

(16)
DFT (PBE) results for Sr4MgAg after structural relaxation.

a = 5.742 Å, b = 5.746 Å, c = 8.165 Å
α = 89.91°, β = 89.95°, γ = 90.01°
Positions (direct):
Sr 0.501 0.997 0.258
Sr 0.501 0.998 0.738
Sr 0.002 0.498 0.738
Sr 0.001 0.497 0.259
Mg 0.502 0.497 0.999
Ag 0.001 0.998 0.498

Values from the calculation:
**Distance to the lowest polymorph of the same formula**: 2.392 kcal/mol of atoms
**Energy of formation**: 0.02 eV/atom
**Total moment**: 0.0 μB per formula unit

---

(17)
DFT (PBE) results for SrMgTa2Ag after structural relaxation.

a = 4.975 Å, b = 5.337 Å, c = 4.975 Å
α = 90.00°, β = 90.00°, γ = 90.00°
Positions (direct):
Sr 0.000 0.000 0.000
Mg 0.000 0.500 0.000
Ag 0.500 0.500 0.500
Ta 0.000 0.000 0.500
Ta 0.500 0.000 0.000

Values from the calculation:
**Energy of formation**: 2.53 eV/atom
**Total moment**: 0.0 μB per formula unit

---

(18)
DFT (PBE) results for SrTbMgAg after structural relaxation.

a = 5.467 Å, b = 5.467 Å, c = 5.467 Å
α = 60.00°, β = 60.00°, γ = 60.00°
Positions (direct):
Sr 0.500 0.500 0.500
Mg 0.750 0.750 0.750
Tb 0.000 0.000 0.000
Ag 0.250 0.250 0.250

Values from the calculation:
**Energy of formation**: -0.07 eV/atom
**Total moment**: 0.0 μB per formula unit

---

(19)
DFT (PBE) results for SrMg4Tl2Ag after structural relaxation.

a = 4.983 Å, b = 4.983 Å, c = 9.932 Å
α = 75.47°, β = 75.47°, γ = 60.00°
Positions (direct):
Sr 0.000 0.000 0.000
Mg 0.406 0.406 0.783
Mg 0.864 0.864 0.409
Mg 0.136 0.136 0.591
Mg 0.594 0.594 0.217
Tl 0.740 0.740 0.779
Tl 0.260 0.260 0.221
Ag 0.500 0.500 0.500

Values from the calculation:
**Energy of formation**: -0.14 eV/atom
**Total moment**: 0.0 μB per formula unit

---

(20)
DFT (PBE) results for SrMgTlAg after structural relaxation.

a = 5.304 Å, b = 5.304 Å, c = 5.304 Å
α = 60.00°, β = 60.00°, γ = 60.00°
Positions (direct):
Sr 0.000 0.000 0.000
Tl 0.750 0.750 0.750
Mg 0.500 0.500 0.500
Ag 0.250 0.250 0.250

Values from the calculation:
**Energy of formation**: -0.21 eV/atom
**Total moment**: 0.0 μB per formula unit

---

(21)
DFT (PBE) results for Sr2Mg12TlAg3 after structural relaxation.

a = 8.681 Å, b = 8.681 Å, c = 8.681 Å
α = 69.53°, β = 69.53°, γ = 69.53°
Positions (direct):
Sr 0.595 0.595 0.595
Sr 0.405 0.405 0.405
Mg 0.289 0.289 0.857
Mg 0.859 0.859 0.377
Mg 0.377 0.859 0.859
Mg 0.857 0.289 0.289
Mg 0.859 0.377 0.859
Mg 0.289 0.857 0.289
Mg 0.711 0.711 0.143
Mg 0.141 0.141 0.623
Mg 0.623 0.141 0.141
Mg 0.143 0.711 0.711
Mg 0.141 0.623 0.141
Mg 0.711 0.143 0.711
Tl 0.000 0.000 0.000
Ag 0.500 0.000 0.000
Ag 0.000 0.500 0.000
Ag 0.000 0.000 0.500

Values from the calculation:
**Energy of formation**: 0.19 eV/atom
**Total moment**: 0.0 μB per formula unit

---

(22)
DFT (PBE) results for SrMg2TlAg after structural relaxation.

a = 6.386 Å, b = 6.291 Å, c = 6.386 Å
α = 90.00°, β = 90.00°, γ = 90.00°
Positions (direct):
Sr 0.000 0.000 0.000
Tl 0.000 0.500 0.000
Mg 0.000 0.000 0.500
Mg 0.500 0.000 0.000
Ag 0.500 0.500 0.500

Values from the calculation:
**Energy of formation**: 0.99 eV/atom
**Total moment**: 0.0 μB per formula unit